DFT (PBE with a Hubbard U) results for a relaxed Al2MoO6 crystal.

a = 4.5390 Å, b = 4.5390 Å, c = 8.6969 Å
α = 90.00°, β = 90.00°, γ = 90.00°
Closest atoms and distances in Å follow each position.
Fractional coordinates of all 18 atoms:
Al (0.5000, 0.5000, 0.3360)  6 O 1.89-1.94
Al (0.5000, 0.5000, 0.6640)  6 O 1.89-1.94
Al (0.0000, 0.0000, 0.1640)  6 O 1.89-1.94
Al (0.0000, 0.0000, 0.8360)  6 O 1.89-1.94
Mo (0.5000, 0.5000, 0.0000)  6 O 1.93-1.97
Mo (0.0000, 0.0000, 0.5000)  6 O 1.93-1.97
O (0.6980, 0.6980, 0.1674)  1 Mo 1.93, 2 Al 1.94
O (0.6980, 0.6980, 0.8326)  1 Mo 1.93, 2 Al 1.94
O (0.6934, 0.6934, 0.5000)  2 Al 1.89, 1 Mo 1.97
O (0.8066, 0.1934, 0.0000)  2 Al 1.89, 1 Mo 1.97
O (0.8020, 0.1980, 0.3326)  1 Mo 1.93, 2 Al 1.94
O (0.8020, 0.1980, 0.6674)  1 Mo 1.93, 2 Al 1.94
O (0.1980, 0.8020, 0.3326)  1 Mo 1.93, 2 Al 1.94
O (0.1980, 0.8020, 0.6674)  1 Mo 1.93, 2 Al 1.94
O (0.1934, 0.8066, 0.0000)  2 Al 1.89, 1 Mo 1.97
O (0.3066, 0.3066, 0.5000)  2 Al 1.89, 1 Mo 1.97
O (0.3020, 0.3020, 0.1674)  1 Mo 1.93, 2 Al 1.94
O (0.3020, 0.3020, 0.8326)  1 Mo 1.93, 2 Al 1.94

Values from the calculation:
* total energy: -7.246 eV/atom
* volume: 9.95 A^3/atom
* magnetization: 0.000 μB per atom